Material: ErGa3Fe3
Method: DFT, PBE
State: optimized geometry

Output
Polymorph energy (0 for the lowest one) in eV/atom: 0.455
Formation energy in meV/atom: 468

a b c (Å): 6.480 6.480 6.480
angles (deg): 90.00 90.00 90.00
Space group Pm-3n (No. 223)
Symmetry-distinct sites (fractional):
Er (0.000, 0.000, 0.000) [2 per cell]
Ga (0.000, 0.250, 0.500) [6 per cell]
Fe (0.000, 0.500, 0.250) [6 per cell]